The following is a DFT calculation (PBE+U) of a relaxed BaCo2As2O8 crystal.

Cell lengths 8.5940, 8.5940, 8.5940 Å; angles 34.25, 34.25, 34.25 degrees
Last column: nearest neighbours and their distance in Å.
Fractional positions:
Ba: 0.0000 0.0000 0.0000  12 O 2.98-3.26
Co: 0.1696 0.1696 0.1696  6 O 2.09-2.11
Co: 0.8304 0.8304 0.8304  6 O 2.09-2.11
As: 0.4272 0.4272 0.4272  4 O 1.70-1.75
As: 0.5728 0.5728 0.5728  4 O 1.70-1.75
O: 0.1258 0.4384 0.7830  1 As 1.75
O: 0.2170 0.8742 0.5616  1 As 1.75
O: 0.3573 0.3573 0.3573  1 As 1.70
O: 0.4384 0.7830 0.1258  1 As 1.75
O: 0.5616 0.2170 0.8742  1 As 1.75
O: 0.6427 0.6427 0.6427  1 As 1.70
O: 0.7830 0.1258 0.4384  1 As 1.75
O: 0.8742 0.5616 0.2170  1 As 1.75

Results
- E: -6.2750 eV/atom